Entry 1:
# PrEu2Pb GGA-PBE optimized geometry
data_PrEu2Pb
_chemical_formula_sum 'Pr1 Eu2 Pb1'
_space_group_name_H-M_alt 'P 1'
_space_group_IT_number 1
_space_group_name_Hall 'P 1'
_cell_length_a 4.385
_cell_length_b 4.385
_cell_length_c 7.151
_cell_angle_alpha 90.00
_cell_angle_beta 90.00
_cell_angle_gamma 90.00
loop_
_atom_site_label
_atom_site_fract_x
_atom_site_fract_y
_atom_site_fract_z
Pr1 0.000 0.000 0.000
Eu1 0.500 0.500 0.272
Eu2 0.500 0.500 0.728
Pb1 0.000 0.000 0.500
# Final energy ... -7.46 eV per atom
# Energy of formation ... -0.20 eV/atom
# Energy relative to the lowest polymorph listed for this composition ... 0.125 eV per atom
# Total magnetization ... 14.66 μB/f.u.

***

Entry 2:
# PrEuZnPb GGA-PBE optimized geometry
data_PrEuZnPb
_chemical_formula_sum 'Pr4 Eu4 Zn4 Pb4'
_space_group_name_H-M_alt 'P 1'
_space_group_IT_number 1
_space_group_name_Hall 'P 1'
_cell_length_a 7.751
_cell_length_b 7.751
_cell_length_c 7.751
_cell_angle_alpha 90.00
_cell_angle_beta 90.00
_cell_angle_gamma 90.00
loop_
_atom_site_label
_atom_site_fract_x
_atom_site_fract_y
_atom_site_fract_z
Pr1 0.000 0.000 0.000
Pr2 0.000 0.500 0.500
Pr3 0.500 0.000 0.500
Pr4 0.500 0.500 0.000
Eu1 0.000 0.000 0.500
Eu2 0.000 0.500 0.000
Eu3 0.500 0.000 0.000
Eu4 0.500 0.500 0.500
Zn1 0.250 0.250 0.250
Zn2 0.250 0.750 0.750
Zn3 0.750 0.250 0.750
Zn4 0.750 0.750 0.250
Pb1 0.250 0.250 0.750
Pb2 0.250 0.750 0.250
Pb3 0.750 0.250 0.250
Pb4 0.750 0.750 0.750
# Final energy ... -5.41 eV per atom
# Energy of formation ... -0.40 eV/atom
# Total magnetization ... 7.80 μB/f.u.

***

Entry 3:
# Eu2PtPb GGA-PBE optimized geometry
data_Eu2PtPb
_chemical_formula_sum 'Eu8 Pt4 Pb4'
_space_group_name_H-M_alt 'P 1'
_space_group_IT_number 1
_space_group_name_Hall 'P 1'
_cell_length_a 7.580
_cell_length_b 7.580
_cell_length_c 7.580
_cell_angle_alpha 90.00
_cell_angle_beta 90.00
_cell_angle_gamma 90.00
loop_
_atom_site_label
_atom_site_fract_x
_atom_site_fract_y
_atom_site_fract_z
Eu1 0.250 0.250 0.250
Eu2 0.250 0.250 0.750
Eu3 0.250 0.750 0.250
Eu4 0.250 0.750 0.750
Eu5 0.750 0.250 0.250
Eu6 0.750 0.250 0.750
Eu7 0.750 0.750 0.250
Eu8 0.750 0.750 0.750
Pt1 0.000 0.000 0.000
Pt2 0.000 0.500 0.500
Pt3 0.500 0.000 0.500
Pt4 0.500 0.500 0.000
Pb1 0.000 0.000 0.500
Pb2 0.000 0.500 0.000
Pb3 0.500 0.000 0.000
Pb4 0.500 0.500 0.500
# Final energy ... -8.16 eV per atom
# Energy of formation ... -0.59 eV/atom
# Energy relative to the lowest polymorph listed for this composition ... 0.141 eV per atom
# Total magnetization ... 13.83 μB/f.u.

***

Entry 4:
# Eu2PtPb GGA-PBE optimized geometry
data_Eu2PtPb
_chemical_formula_sum 'Eu6 Pt3 Pb3'
_space_group_name_H-M_alt 'P 1'
_space_group_IT_number 1
_space_group_name_Hall 'P 1'
_cell_length_a 4.074
_cell_length_b 4.074
_cell_length_c 25.849
_cell_angle_alpha 90.00
_cell_angle_beta 90.00
_cell_angle_gamma 120.00
loop_
_atom_site_label
_atom_site_fract_x
_atom_site_fract_y
_atom_site_fract_z
Eu1 0.000 0.000 0.235
Eu2 0.000 0.000 0.765
Eu3 0.333 0.667 0.432
Eu4 0.333 0.667 0.901
Eu5 0.667 0.333 0.099
Eu6 0.667 0.333 0.568
Pt1 0.000 0.000 0.500
Pt2 0.333 0.667 0.167
Pt3 0.667 0.333 0.833
Pb1 0.000 0.000 0.000
Pb2 0.333 0.667 0.667
Pb3 0.667 0.333 0.333
# Final energy ... -8.21 eV per atom
# Energy of formation ... -0.64 eV/atom
# Energy relative to the lowest polymorph listed for this composition ... 0.089 eV per atom
# Total magnetization ... 13.94 μB/f.u.

***

Entry 5:
# Eu2PtPb GGA-PBE optimized geometry
data_Eu2PtPb
_chemical_formula_sum 'Eu2 Pt1 Pb1'
_space_group_name_H-M_alt 'P 1'
_space_group_IT_number 1
_space_group_name_Hall 'P 1'
_cell_length_a 3.605
_cell_length_b 3.605
_cell_length_c 8.453
_cell_angle_alpha 90.00
_cell_angle_beta 90.00
_cell_angle_gamma 90.00
loop_
_atom_site_label
_atom_site_fract_x
_atom_site_fract_y
_atom_site_fract_z
Eu1 0.000 0.000 0.210
Eu2 0.000 0.000 0.790
Pt1 0.500 0.500 0.000
Pb1 0.500 0.500 0.500
# Final energy ... -8.30 eV per atom
# Energy of formation ... -0.73 eV/atom
# Energy relative to the lowest polymorph listed for this composition ... 0.000 eV per atom
# Total magnetization ... 13.86 μB/f.u.

***

Entry 6:
# EuPtPb2 GGA-PBE optimized geometry
data_EuPtPb2
_chemical_formula_sum 'Eu1 Pt1 Pb2'
_space_group_name_H-M_alt 'P 1'
_space_group_IT_number 1
_space_group_name_Hall 'P 1'
_cell_length_a 4.616
_cell_length_b 4.616
_cell_length_c 4.737
_cell_angle_alpha 90.00
_cell_angle_beta 90.00
_cell_angle_gamma 90.00
loop_
_atom_site_label
_atom_site_fract_x
_atom_site_fract_y
_atom_site_fract_z
Eu1 0.000 0.000 0.000
Pt1 0.500 0.500 0.000
Pb1 0.000 0.500 0.500
Pb2 0.500 0.000 0.500
# Final energy ... -6.30 eV per atom
# Energy of formation ... -0.36 eV/atom
# Total magnetization ... 6.90 μB/f.u.

***

Entry 7:
# EuPtPb2 GGA-PBE optimized geometry
data_EuPtPb2
_chemical_formula_sum 'Eu3 Pt3 Pb6'
_space_group_name_H-M_alt 'P 1'
_space_group_IT_number 1
_space_group_name_Hall 'P 1'
_cell_length_a 3.888
_cell_length_b 3.888
_cell_length_c 30.091
_cell_angle_alpha 90.00
_cell_angle_beta 90.00
_cell_angle_gamma 120.00
loop_
_atom_site_label
_atom_site_fract_x
_atom_site_fract_y
_atom_site_fract_z
Eu1 0.000 0.000 0.000
Eu2 0.333 0.667 0.667
Eu3 0.667 0.333 0.333
Pt1 0.000 0.000 0.500
Pt2 0.333 0.667 0.167
Pt3 0.667 0.333 0.833
Pb1 0.000 0.000 0.111
Pb2 0.000 0.000 0.889
Pb3 0.333 0.667 0.556
Pb4 0.333 0.667 0.777
Pb5 0.667 0.333 0.223
Pb6 0.667 0.333 0.444
# Final energy ... -6.00 eV per atom
# Energy of formation ... -0.07 eV/atom
# Total magnetization ... 7.59 μB/f.u.

***

Entry 8:
# Eu3PtPb GGA-PBE optimized geometry
data_Eu3PtPb
_chemical_formula_sum 'Eu3 Pt1 Pb1'
_space_group_name_H-M_alt 'P 1'
_space_group_IT_number 1
_space_group_name_Hall 'P 1'
_cell_length_a 5.645
_cell_length_b 5.645
_cell_length_c 5.645
_cell_angle_alpha 90.00
_cell_angle_beta 90.00
_cell_angle_gamma 90.00
loop_
_atom_site_label
_atom_site_fract_x
_atom_site_fract_y
_atom_site_fract_z
Eu1 0.000 0.000 0.500
Eu2 0.000 0.500 0.000
Eu3 0.500 0.000 0.000
Pt1 0.000 0.000 0.000
Pb1 0.500 0.500 0.500
# Final energy ... -8.66 eV per atom
# Energy of formation ... -0.55 eV/atom
# Total magnetization ... 20.98 μB/f.u.

***

Entry 9:
# EuPuPtPb GGA-PBE optimized geometry
data_EuPuPtPb
_chemical_formula_sum 'Eu4 Pu4 Pt4 Pb4'
_space_group_name_H-M_alt 'P 1'
_space_group_IT_number 1
_space_group_name_Hall 'P 1'
_cell_length_a 7.477
_cell_length_b 7.477
_cell_length_c 7.477
_cell_angle_alpha 90.00
_cell_angle_beta 90.00
_cell_angle_gamma 90.00
loop_
_atom_site_label
_atom_site_fract_x
_atom_site_fract_y
_atom_site_fract_z
Eu1 0.000 0.000 0.000
Eu2 0.000 0.500 0.500
Eu3 0.500 0.000 0.500
Eu4 0.500 0.500 0.000
Pu1 0.000 0.000 0.500
Pu2 0.000 0.500 0.000
Pu3 0.500 0.000 0.000
Pu4 0.500 0.500 0.500
Pt1 0.250 0.250 0.250
Pt2 0.250 0.750 0.750
Pt3 0.750 0.250 0.750
Pt4 0.750 0.750 0.250
Pb1 0.250 0.250 0.750
Pb2 0.250 0.750 0.250
Pb3 0.750 0.250 0.250
Pb4 0.750 0.750 0.750
# Final energy ... -8.99 eV per atom
# Energy of formation ... -0.40 eV/atom
# Total magnetization ... 12.19 μB/f.u.

***

Entry 10:
# EuPtRhPb GGA-PBE optimized geometry
data_EuPtRhPb
_chemical_formula_sum 'Eu4 Pt4 Rh4 Pb4'
_space_group_name_H-M_alt 'P 1'
_space_group_IT_number 1
_space_group_name_Hall 'P 1'
_cell_length_a 6.925
_cell_length_b 6.925
_cell_length_c 6.925
_cell_angle_alpha 90.00
_cell_angle_beta 90.00
_cell_angle_gamma 90.00
loop_
_atom_site_label
_atom_site_fract_x
_atom_site_fract_y
_atom_site_fract_z
Eu1 0.000 0.000 0.000
Eu2 0.000 0.500 0.500
Eu3 0.500 0.000 0.500
Eu4 0.500 0.500 0.000
Pt1 0.250 0.250 0.750
Pt2 0.250 0.750 0.250
Pt3 0.750 0.250 0.250
Pt4 0.750 0.750 0.750
Rh1 0.250 0.250 0.250
Rh2 0.250 0.750 0.750
Rh3 0.750 0.250 0.750
Rh4 0.750 0.750 0.250
Pb1 0.000 0.000 0.500
Pb2 0.000 0.500 0.000
Pb3 0.500 0.000 0.000
Pb4 0.500 0.500 0.500
# Final energy ... -7.20 eV per atom
# Energy of formation ... -0.36 eV/atom
# Total magnetization ... 6.62 μB/f.u.

***

Entry 11:
# SrEuPtPb GGA-PBE optimized geometry
data_SrEuPtPb
_chemical_formula_sum 'Sr4 Eu4 Pt4 Pb4'
_space_group_name_H-M_alt 'P 1'
_space_group_IT_number 1
_space_group_name_Hall 'P 1'
_cell_length_a 7.679
_cell_length_b 7.679
_cell_length_c 7.679
_cell_angle_alpha 90.00
_cell_angle_beta 90.00
_cell_angle_gamma 90.00
loop_
_atom_site_label
_atom_site_fract_x
_atom_site_fract_y
_atom_site_fract_z
Sr1 0.000 0.000 0.000
Sr2 0.000 0.500 0.500
Sr3 0.500 0.000 0.500
Sr4 0.500 0.500 0.000
Eu1 0.000 0.000 0.500
Eu2 0.000 0.500 0.000
Eu3 0.500 0.000 0.000
Eu4 0.500 0.500 0.500
Pt1 0.250 0.250 0.250
Pt2 0.250 0.750 0.750
Pt3 0.750 0.250 0.750
Pt4 0.750 0.750 0.250
Pb1 0.250 0.250 0.750
Pb2 0.250 0.750 0.250
Pb3 0.750 0.250 0.250
Pb4 0.750 0.750 0.750
# Final energy ... -5.97 eV per atom
# Energy of formation ... -0.54 eV/atom
# Total magnetization ... 6.94 μB/f.u.

***

Entry 12:
# EuTlPtPb GGA-PBE optimized geometry
data_EuTlPtPb
_chemical_formula_sum 'Eu4 Tl4 Pt4 Pb4'
_space_group_name_H-M_alt 'P 1'
_space_group_IT_number 1
_space_group_name_Hall 'P 1'
_cell_length_a 7.381
_cell_length_b 7.381
_cell_length_c 7.381
_cell_angle_alpha 90.00
_cell_angle_beta 90.00
_cell_angle_gamma 90.00
loop_
_atom_site_label
_atom_site_fract_x
_atom_site_fract_y
_atom_site_fract_z
Eu1 0.000 0.000 0.000
Eu2 0.000 0.500 0.500
Eu3 0.500 0.000 0.500
Eu4 0.500 0.500 0.000
Tl1 0.250 0.250 0.250
Tl2 0.250 0.750 0.750
Tl3 0.750 0.250 0.750
Tl4 0.750 0.750 0.250
Pt1 0.250 0.250 0.750
Pt2 0.250 0.750 0.250
Pt3 0.750 0.250 0.250
Pt4 0.750 0.750 0.750
Pb1 0.000 0.000 0.500
Pb2 0.000 0.500 0.000
Pb3 0.500 0.000 0.000
Pb4 0.500 0.500 0.500
# Final energy ... -5.94 eV per atom
# Energy of formation ... -0.35 eV/atom
# Total magnetization ... 6.88 μB/f.u.